(1)
The following is a GGA-PBE calculation of an optimized crystal structure of CeLu3C, from Alexandria via LeMat-Bulk.

Structure (extended XYZ):
```
5
Lattice="4.927 0.000 0.000 0.000 4.927 0.000 0.000 0.000 4.927" Properties=species:S:1:pos:R:3 pbc="T T T"
Ce 0.000 0.000 0.000
Lu 0.000 2.464 2.464
Lu 2.464 0.000 2.464
Lu 2.464 2.464 0.000
C 2.464 2.464 2.464
```

Computed properties:
DFT total energy: -28.55 eV/cell
ρ: 9.40 g/cm³
Space group: Pm-3m, No. 221

***

(2)
The following is a GGA-PBE calculation of an optimized crystal structure of Re2Os3, from Alexandria via LeMat-Bulk.

Structure (extended XYZ):
```
5
Lattice="4.200 0.000 0.000 -2.100 3.637 0.000 0.000 0.000 5.366" Properties=species:S:1:pos:R:3 pbc="T T T"
Re 0.000 2.425 1.799
Re 2.100 1.212 3.567
Os 0.000 0.000 2.683
Os 0.000 2.425 4.612
Os 2.100 1.212 0.754
```

Computed properties:
DFT total energy: -55.43 eV/cell
ρ: 19.11 g/cm³
Space group: P-3m1, No. 164

***

(3)
The following is a GGA-PBE calculation of an optimized crystal structure of Li3Cd2Rh, from Alexandria via LeMat-Bulk.

Structure (extended XYZ):
```
12
Lattice="2.874 -4.013 0.000 2.874 4.013 0.000 -2.816 0.000 8.680" Properties=species:S:1:pos:R:3 pbc="T T T"
Li -0.678 1.005 5.213
Li 0.762 3.011 6.510
Li 0.730 -1.005 0.873
Li 2.202 1.005 7.808
Li 2.170 -3.011 2.170
Li 3.610 -1.005 3.467
Cd -0.670 1.000 7.940
Cd 0.738 -1.000 3.600
Cd 2.194 1.000 5.080
Cd 3.602 -1.000 0.740
Rh 2.170 1.004 2.170
Rh 0.762 -1.004 6.510
```

Computed properties:
DFT total energy: -32.42 eV/cell
ρ: 5.78 g/cm³
Space group: C2/c, No. 15

***

(4)
The following is a GGA-PBE calculation of an optimized crystal structure of KYC, from Alexandria via LeMat-Bulk.

Structure (extended XYZ):
```
6
Lattice="3.887 0.000 0.000 -1.944 3.366 0.000 0.000 0.000 13.853" Properties=species:S:1:pos:R:3 pbc="T T T"
K 0.000 0.000 0.000
K 0.000 0.000 6.926
Y 0.000 2.244 2.888
Y 1.944 1.122 9.815
C 0.000 2.244 9.082
C 1.944 1.122 2.156
```

Computed properties:
DFT total energy: -30.71 eV/cell
ρ: 2.57 g/cm³
Space group: P6_3mc, No. 186

***

no.,total magnetization (μB/f.u.),DFT formation energy (eV/atom)
1,1.85,0.0344
2,0.00,0.6301
3,0.00,-0.2148
4,0.36,0.4762